Density functional theory data (GGA-PBEsol) for a relaxed LaTi2Ni2 crystal.

a = 4.232 Å, b = 4.232 Å, c = 5.759 Å
α = 111.56°, β = 111.56°, γ = 90.00°
Fractional positions:
Ni 0.375 0.375 0.751
Ni 0.625 0.625 0.249
Ti 0.250 0.750 0.500
Ti 0.750 0.250 0.500
La 0.000 0.000 0.000

Properties
- crystal system = tetragonal
- symmetry = I4/mmm, No. 139



Density functional theory data (GGA-PBEsol) for a relaxed SrTaMo3 crystal.

a = 4.600 Å, b = 4.600 Å, c = 4.600 Å
α = 90.00°, β = 90.00°, γ = 90.00°
Fractional positions:
Sr 0.000 0.000 0.000
Mo 0.000 0.500 0.000
Mo 0.000 0.000 0.500
Mo 0.500 0.000 0.000
Ta 0.500 0.500 0.500

Properties
- crystal system = cubic
- symmetry = Pm-3m, No. 221



Density functional theory data (GGA-PBEsol) for a relaxed In3AsRu crystal.

a = 5.127 Å, b = 5.127 Å, c = 5.127 Å
α = 90.00°, β = 90.00°, γ = 90.00°
Fractional positions:
Ru 0.500 0.500 0.500
As 0.000 0.000 0.000
In 0.000 0.500 0.000
In 0.000 0.000 0.500
In 0.500 0.000 0.000

Properties
- crystal system = cubic
- symmetry = Pm-3m, No. 221



Density functional theory data (GGA-PBEsol) for a relaxed SiSnOF2 crystal.

a = 3.450 Å, b = 4.478 Å, c = 4.478 Å
α = 90.00°, β = 90.00°, γ = 90.00°
Fractional positions:
Si 0.000 0.000 0.000
Sn 0.500 0.500 0.500
O 0.500 0.000 0.000
F 0.000 0.000 0.500
F 0.000 0.500 0.000

Properties
- raw formation energy (eV per atom) = -1.4465
- crystal system = tetragonal
- symmetry = P4/mmm, No. 123



Density functional theory data (GGA-PBEsol) for a relaxed RbTlSeBr2 crystal.

a = 5.269 Å, b = 5.725 Å, c = 5.725 Å
α = 90.00°, β = 90.00°, γ = 90.00°
Fractional positions:
Tl 0.000 0.000 0.000
Se 0.500 0.000 0.000
Br 0.000 0.000 0.500
Br 0.000 0.500 0.000
Rb 0.500 0.500 0.500

Properties
- raw formation energy (eV per atom) = -0.7009
- crystal system = tetragonal
- symmetry = P4/mmm, No. 123



Density functional theory data (GGA-PBEsol) for a relaxed Sm2Tl crystal.

a = 5.415 Å, b = 5.415 Å, c = 6.713 Å
α = 90.00°, β = 90.00°, γ = 120.00°
Fractional positions:
Tl 0.333 0.667 0.250
Tl 0.667 0.333 0.750
Sm 0.000 0.000 0.500
Sm 0.000 0.000 0.000
Sm 0.333 0.667 0.750
Sm 0.667 0.333 0.250

Properties
- crystal system = hexagonal
- symmetry = P6_3/mmc, No. 194



Density functional theory data (GGA-PBEsol) for a relaxed LaAlCl4 crystal.

a = 5.794 Å, b = 5.794 Å, c = 5.794 Å
α = 60.00°, β = 60.00°, γ = 60.00°
Fractional positions:
Cl 0.375 0.375 0.375
Cl 0.375 0.375 0.874
Cl 0.874 0.375 0.375
Cl 0.375 0.874 0.375
Al 0.000 0.000 0.000
La 0.750 0.750 0.750

Properties
- raw formation energy (eV per atom) = -0.4972
- crystal system = cubic
- symmetry = F-43m, No. 216



Density functional theory data (GGA-PBEsol) for a relaxed Ni2AgH2 crystal.

a = 2.895 Å, b = 2.895 Å, c = 5.495 Å
α = 105.27°, β = 105.27°, γ = 90.00°
Fractional positions:
Ni 0.333 0.333 0.665
Ni 0.667 0.667 0.335
Ag 0.000 0.000 0.000
H 0.250 0.750 0.500
H 0.750 0.250 0.500

Properties
- crystal system = tetragonal
- symmetry = I4/mmm, No. 139



| no. | uncorrected energy (Ry/atom) | DOS(E_F) (states/eV per atom) |
| --- | --- | --- |
| 1 | -0.521 | 0.774 |
| 2 | -0.512 | 1.871 |
| 3 | -0.265 | 0.946 |
| 4 | -0.387 | 0.125 |
| 5 | -0.217 | 0.934 |
| 6 | -0.338 | 1.379 |
| 7 | -0.251 | 0.816 |
| 8 | -0.326 | 0.306 |